Run i
HfScSn: relaxed, GGA-PBE.

Calculated values
N(E_F) (states/eV/f.u.): 2.60
Space group: P3m1, No. 156

Cell: 3.0300 5.0009 5.0009 Å, 120.00 90.00 90.00°
With the nearest neighbours (Å) after each atom.
Fractional coordinates of all 3 atoms:
Sn  0.6664  0.6667  0.3333  2 Sn 3.03, 6 Hf 3.26, 6 Sc 3.26
Sc  0.1653  0.3333  0.6667  3 Hf 2.89, 2 Sc 3.03
Hf  0.1683  0.0000  0.0000  3 Sc 2.89, 2 Hf 3.03

=====

Run ii
HfScSn: relaxed, GGA-PBE.

Calculated values
N(E_F) (states/eV/f.u.): 4.31
Space group: I4mm, No. 107

Cell: 3.6022 3.6022 5.7581 Å, 108.23 108.23 90.00°
With the nearest neighbours (Å) after each atom.
Fractional coordinates of all 3 atoms:
Sc  0.9487  0.9487  0.8973  4 Sn 3.07, 5 Hf 3.09-3.42
Sn  0.2836  0.2836  0.5672  4 Sc 3.07, 4 Hf 3.07
Hf  0.6177  0.6177  0.2355  4 Sn 3.07, 5 Sc 3.09-3.42

=====

Run iii
HfScSn: relaxed, GGA-PBE.

Calculated values
N(E_F) (states/eV/f.u.): 1.68
Space group: P4/nmm, No. 129

Cell: 4.2387 4.2387 7.8274 Å, 90.00 90.00 90.00°
With the nearest neighbours (Å) after each atom.
Fractional coordinates of all 6 atoms:
Sn  0.0000  0.5000  0.2165  5 Sc 3.01-3.02, 4 Hf 3.07
Sn  0.5000  0.0000  0.7835  5 Sc 3.01-3.02, 4 Hf 3.07
Sc  0.0000  0.5000  0.8320  5 Sn 3.01-3.02, 4 Hf 3.35
Sc  0.5000  0.0000  0.1680  5 Sn 3.01-3.02, 4 Hf 3.35
Hf  0.0000  0.0000  0.5000  4 Hf 3.00, 4 Sn 3.07, 4 Sc 3.35
Hf  0.5000  0.5000  0.5000  4 Hf 3.00, 4 Sn 3.07, 4 Sc 3.35

=====

Run iv
HfScSn: relaxed, GGA-PBE.

Calculated values
N(E_F) (states/eV/f.u.): 2.54
Space group: P4/nmm, No. 129

Cell: 4.4837 4.4837 7.1673 Å, 90.00 90.00 90.00°
With the nearest neighbours (Å) after each atom.
Fractional coordinates of all 6 atoms:
Hf  0.0000  0.5000  0.2879  4 Sn 3.05, 5 Sc 3.06-3.17
Hf  0.5000  0.0000  0.7121  4 Sn 3.05, 5 Sc 3.06-3.17
Sn  0.5000  0.5000  0.0000  4 Sc 3.03, 4 Hf 3.05, 4 Sn 3.17
Sn  0.0000  0.0000  0.0000  4 Sc 3.03, 4 Hf 3.05, 4 Sn 3.17
Sc  0.5000  0.0000  0.2853  4 Sn 3.03, 5 Hf 3.06-3.17
Sc  0.0000  0.5000  0.7147  4 Sn 3.03, 5 Hf 3.06-3.17

=====

How do the energies compare? Relative to the most stable structure, in meV per atom: run i 471; run ii 182; run iii 0; run iv 588.